Below is crystalline BaLaWN4 at its relaxed geometry, with properties calculated at the PBE level.

POSCAR file:
```
BaLaWN4
1.0
-2.013 2.013 6.894
2.013 -2.013 6.894
2.013 2.013 -6.894
Ba La W N
1 1 1 4
Direct
0.000 0.000 0.000
0.717 0.717 0.000
0.356 0.356 0.000
0.188 0.188 0.000
0.336 0.836 0.500
0.491 0.491 0.000
0.836 0.336 0.500
```

Values from the calculation:
As for the space group: I4mm. The uncorrected formation energy is -722 meV per atom.